A relaxed structure of TbSmThAl. Source: Alexandria via LeMat-Bulk, functional PBE-GGA.

Unit cell a=5.4225 b=5.4225 c=5.4225 alpha=60.00 beta=60.00 gamma=60.00
With the nearest neighbours (Å) after each atom.
Fractional positions:
Tb 0.0000 0.0000 0.0000  4 Sm 3.32, 4 Th 3.32
Sm 0.7500 0.7500 0.7500  4 Tb 3.32, 4 Al 3.32
Th 0.2500 0.2500 0.2500  4 Al 3.32, 4 Tb 3.32
Al 0.5000 0.5000 0.5000  4 Sm 3.32, 4 Th 3.32

Calculated values
DFT formation energy (eV per formula unit): -0.05
Fermi-level density of states (states/eV/f.u.): 5.0